Record 1
Material: CdMo2S
Method: DFT, PBE
State: optimized geometry

Computed properties:
The space group is No. 225. The polymorph energy (0 for the lowest one) is 70 meV per atom. As for the uncorrected formation energy: 0.68 eV/atom. Its density of states at the Fermi level is 3.9 states/eV/f.u. The calculation puts the total moment at 0.0 μB per formula unit. Its density is 8.795 g/cm³.

Unit cell a=4.4783 b=4.4783 c=4.4783 alpha=60.00 beta=60.00 gamma=60.00
Closest atoms and distances in Å follow each position.
Sites, in units of the cell vectors:
Cd 0.0000 0.0000 0.0000  8 Mo 2.74
Mo 0.2500 0.2500 0.2500  4 S 2.74, 4 Cd 2.74
Mo 0.7500 0.7500 0.7500  4 S 2.74, 4 Cd 2.74
S 0.5000 0.5000 0.5000  8 Mo 2.74

Record 2
Material: CdMo2S
Method: DFT, PBE
State: optimized geometry

Computed properties:
The space group is No. 122. The polymorph energy (0 for the lowest one) is 0 meV per atom. As for the uncorrected formation energy: 0.61 eV/atom. Its density of states at the Fermi level is 2.8 states/eV/f.u. The calculation puts the total moment at 0.0 μB per formula unit. Its density is 7.632 g/cm³.

Unit cell a=9.7920 b=9.7920 c=9.7920 alpha=156.73 beta=156.73 gamma=33.14
Closest atoms and distances in Å follow each position.
Sites, in units of the cell vectors:
Cd 0.0000 0.0000 0.0000  4 S 2.79, 4 Mo 2.82
Cd 0.7500 0.2500 0.5000  4 S 2.79, 4 Mo 2.82
Mo 0.1851 0.6250 0.0601  2 Mo 2.48, 2 S 2.65
Mo 0.3750 0.4351 0.5601  2 Mo 2.48, 2 S 2.65
Mo 0.5649 0.1250 0.9399  2 Mo 2.48, 2 S 2.65
Mo 0.8750 0.8149 0.4399  2 Mo 2.48, 2 S 2.65
S 0.2500 0.7500 0.5000  4 Mo 2.65, 4 Cd 2.79
S 0.5000 0.5000 0.0000  4 Mo 2.65, 4 Cd 2.79

Record 3
Material: Cd3MoS
Method: DFT, PBE
State: optimized geometry

Computed properties:
The space group is No. 221. The polymorph energy (0 for the lowest one) is 0 meV per atom. As for the uncorrected formation energy: 1.06 eV/atom. Its density of states at the Fermi level is 3.0 states/eV/f.u. The calculation puts the total moment at 4.2 μB per formula unit. Its density is 5.876 g/cm³.

Unit cell a=5.0847 b=5.0847 c=5.0847 alpha=90.00 beta=90.00 gamma=90.00
Closest atoms and distances in Å follow each position.
Sites, in units of the cell vectors:
Cd 0.0000 0.0000 0.5000  2 S 2.54
Cd 0.0000 0.5000 0.0000  2 S 2.54
Cd 0.5000 0.0000 0.0000  2 S 2.54
Mo 0.5000 0.5000 0.5000  12 Cd 3.60
S 0.0000 0.0000 0.0000  6 Cd 2.54

Record 4
Material: CdMoS3
Method: DFT, PBE
State: optimized geometry

Computed properties:
The space group is No. 221. The polymorph energy (0 for the lowest one) is 1151 meV per atom. As for the uncorrected formation energy: 1.12 eV/atom. Its density of states at the Fermi level is 5.2 states/eV/f.u. The calculation puts the total moment at 2.7 μB per formula unit. Its density is 4.298 g/cm³.

Unit cell a=4.9004 b=4.9004 c=4.9004 alpha=90.00 beta=90.00 gamma=90.00
Closest atoms and distances in Å follow each position.
Sites, in units of the cell vectors:
Cd 0.0000 0.0000 0.0000  6 S 2.45
Mo 0.5000 0.5000 0.5000  12 S 3.47
S 0.0000 0.0000 0.5000  2 Cd 2.45
S 0.0000 0.5000 0.0000  2 Cd 2.45
S 0.5000 0.0000 0.0000  2 Cd 2.45

Record 5
Material: CdMoS3
Method: DFT, PBE
State: optimized geometry

Computed properties:
The space group is No. 221. The polymorph energy (0 for the lowest one) is 0 meV per atom. As for the uncorrected formation energy: -0.03 eV/atom. Its density of states at the Fermi level is 4.3 states/eV/f.u. The calculation puts the total moment at 0.0 μB per formula unit. Its density is 4.807 g/cm³.

Unit cell a=4.7208 b=4.7208 c=4.7208 alpha=90.00 beta=90.00 gamma=90.00
Closest atoms and distances in Å follow each position.
Sites, in units of the cell vectors:
Cd 0.0000 0.0000 0.0000  12 S 3.34
Mo 0.5000 0.5000 0.5000  6 S 2.36
S 0.0000 0.5000 0.5000  2 Mo 2.36
S 0.5000 0.0000 0.5000  2 Mo 2.36
S 0.5000 0.5000 0.0000  2 Mo 2.36

Record 6
Material: Cd2MoS
Method: DFT, PBE
State: optimized geometry

Computed properties:
The space group is No. 122. As for the uncorrected formation energy: 0.54 eV/atom. Its density of states at the Fermi level is 2.8 states/eV/f.u. The calculation puts the total moment at 1.4 μB per formula unit. Its density is 6.734 g/cm³.

Unit cell a=6.5277 b=6.5277 c=6.5277 alpha=97.41 beta=97.41 gamma=137.91
Closest atoms and distances in Å follow each position.
Sites, in units of the cell vectors:
Cd 0.0470 0.1250 0.4220  2 S 2.68, 2 Cd 2.70
Cd 0.3750 0.9530 0.0780  2 S 2.68, 2 Cd 2.70
Cd 0.7030 0.6250 0.5780  2 S 2.68, 2 Cd 2.70
Cd 0.8750 0.2970 0.9220  2 S 2.68, 2 Cd 2.70
Mo 0.2500 0.7500 0.5000  2 S 2.34
Mo 0.5000 0.5000 0.0000  2 S 2.34
S 0.0000 0.0000 0.0000  2 Mo 2.34
S 0.7500 0.2500 0.5000  2 Mo 2.34

Record 7
Material: CdSbMo2S
Method: DFT, PBE
State: optimized geometry

Computed properties:
The space group is No. 123. As for the uncorrected formation energy: 0.73 eV/atom. Its density of states at the Fermi level is 4.3 states/eV/f.u. The calculation puts the total moment at 2.1 μB per formula unit. Its density is 7.326 g/cm³.

Unit cell a=4.5501 b=4.5501 c=5.0157 alpha=90.00 beta=90.00 gamma=90.00
Closest atoms and distances in Å follow each position.
Sites, in units of the cell vectors:
Cd 0.0000 0.0000 0.0000  2 S 2.51
Sb 0.5000 0.5000 0.0000  4 Cd 3.22, 8 Mo 3.39
Mo 0.0000 0.5000 0.5000  2 S 2.28
Mo 0.5000 0.0000 0.5000  2 S 2.28
S 0.0000 0.0000 0.5000  4 Mo 2.28, 2 Cd 2.51

Record 8
Material: CdSb2Mo
Method: DFT, PBE
State: optimized geometry

Computed properties:
The space group is No. 12. As for the uncorrected formation energy: 0.34 eV/atom. Its density of states at the Fermi level is 2.3 states/eV/f.u. The calculation puts the total moment at 0.0 μB per formula unit. Its density is 8.435 g/cm³.

Unit cell a=5.0564 b=5.0564 c=5.6592 alpha=99.66 beta=99.66 gamma=38.67
Closest atoms and distances in Å follow each position.
Sites, in units of the cell vectors:
Cd 0.0000 0.0000 0.0000  2 Sb 2.90
Sb 0.2241 0.2241 0.7154  3 Mo 2.82-3.09, 1 Cd 2.90, 2 Sb 3.07
Sb 0.7759 0.7759 0.2846  3 Mo 2.82-3.09, 1 Cd 2.90, 2 Sb 3.07
Mo 0.5000 0.5000 0.5000  6 Sb 2.82-3.09

Record 9
Material: CdSb3Mo
Method: DFT, PBE
State: optimized geometry

Computed properties:
The space group is No. 221. The polymorph energy (0 for the lowest one) is 0 meV per atom. As for the uncorrected formation energy: 0.44 eV/atom. Its density of states at the Fermi level is 5.1 states/eV/f.u. The calculation puts the total moment at 0.0 μB per formula unit. Its density is 6.492 g/cm³.

Unit cell a=5.2744 b=5.2744 c=5.2744 alpha=90.00 beta=90.00 gamma=90.00
Closest atoms and distances in Å follow each position.
Sites, in units of the cell vectors:
Cd 0.0000 0.0000 0.0000  12 Sb 3.73
Sb 0.0000 0.5000 0.5000  2 Mo 2.64
Sb 0.5000 0.0000 0.5000  2 Mo 2.64
Sb 0.5000 0.5000 0.0000  2 Mo 2.64
Mo 0.5000 0.5000 0.5000  6 Sb 2.64

Record 10
Material: Cd3SbMo
Method: DFT, PBE
State: optimized geometry

Computed properties:
The space group is No. 221. The polymorph energy (0 for the lowest one) is 165 meV per atom. As for the uncorrected formation energy: 1.26 eV/atom. Its density of states at the Fermi level is 3.6 states/eV/f.u. The calculation puts the total moment at 4.9 μB per formula unit. Its density is 5.203 g/cm³.

Unit cell a=5.6157 b=5.6157 c=5.6157 alpha=90.00 beta=90.00 gamma=90.00
Closest atoms and distances in Å follow each position.
Sites, in units of the cell vectors:
Cd 0.0000 0.0000 0.5000  2 Sb 2.81
Cd 0.0000 0.5000 0.0000  2 Sb 2.81
Cd 0.5000 0.0000 0.0000  2 Sb 2.81
Sb 0.0000 0.0000 0.0000  6 Cd 2.81
Mo 0.5000 0.5000 0.5000  12 Cd 3.97

Record 11
Material: CdSbMo3
Method: DFT, PBE
State: optimized geometry

Computed properties:
The space group is No. 221. The polymorph energy (0 for the lowest one) is 0 meV per atom. As for the uncorrected formation energy: 1.85 eV/atom. Its density of states at the Fermi level is 11.3 states/eV/f.u. The calculation puts the total moment at 0.0 μB per formula unit. Its density is 7.302 g/cm³.

Unit cell a=4.9146 b=4.9146 c=4.9146 alpha=90.00 beta=90.00 gamma=90.00
Closest atoms and distances in Å follow each position.
Sites, in units of the cell vectors:
Cd 0.0000 0.0000 0.0000  12 Mo 3.48
Sb 0.5000 0.5000 0.5000  6 Mo 2.46
Mo 0.0000 0.5000 0.5000  2 Sb 2.46
Mo 0.5000 0.0000 0.5000  2 Sb 2.46
Mo 0.5000 0.5000 0.0000  2 Sb 2.46

Record 12
Material: CdSb2Mo
Method: DFT, PBE
State: optimized geometry

Computed properties:
The space group is No. 122. As for the uncorrected formation energy: 0.53 eV/atom. Its density of states at the Fermi level is 1.4 states/eV/f.u. The calculation puts the total moment at 1.9 μB per formula unit. Its density is 5.713 g/cm³.

Unit cell a=7.8580 b=7.8580 c=7.8580 alpha=132.00 beta=132.00 gamma=70.23
Closest atoms and distances in Å follow each position.
Sites, in units of the cell vectors:
Cd 0.0000 0.0000 0.0000  4 Sb 2.90
Cd 0.7500 0.2500 0.5000  4 Sb 2.90
Sb 0.1574 0.6250 0.0324  2 Mo 2.66, 2 Cd 2.90
Sb 0.3750 0.4074 0.5324  2 Mo 2.66, 2 Cd 2.90
Sb 0.5926 0.1250 0.9676  2 Mo 2.66, 2 Cd 2.90
Sb 0.8750 0.8426 0.4676  2 Mo 2.66, 2 Cd 2.90
Mo 0.2500 0.7500 0.5000  4 Sb 2.66
Mo 0.5000 0.5000 0.0000  4 Sb 2.66

Record 13
Material: CdSb2Mo
Method: DFT, PBE
State: optimized geometry

Computed properties:
The space group is No. 47. As for the uncorrected formation energy: 0.62 eV/atom. Its density of states at the Fermi level is 3.6 states/eV/f.u. The calculation puts the total moment at 0.0 μB per formula unit. Its density is 8.573 g/cm³.

Unit cell a=3.6612 b=4.5653 c=5.2363 alpha=90.00 beta=90.00 gamma=90.00
Closest atoms and distances in Å follow each position.
Sites, in units of the cell vectors:
Cd 0.0000 0.0000 0.0000  4 Sb 2.93, 4 Mo 3.19
Sb 0.0000 0.5000 0.5000  4 Mo 2.93, 4 Sb 3.19
Sb 0.5000 0.5000 0.0000  4 Cd 2.93, 4 Sb 3.19
Mo 0.5000 0.0000 0.5000  4 Sb 2.93, 4 Cd 3.19

Record 14
Material: CdSb2Mo
Method: DFT, PBE
State: optimized geometry

Computed properties:
The space group is No. 99. As for the uncorrected formation energy: 0.38 eV/atom. Its density of states at the Fermi level is 3.7 states/eV/f.u. The calculation puts the total moment at 0.4 μB per formula unit. Its density is 8.117 g/cm³.

Unit cell a=3.4997 b=3.4997 c=7.5478 alpha=90.00 beta=90.00 gamma=90.00
Closest atoms and distances in Å follow each position.
Sites, in units of the cell vectors:
Cd 0.0000 0.0000 0.0000  1 Sb 3.01, 4 Mo 3.09
Sb 0.0000 0.0000 0.3982  4 Mo 2.73, 1 Cd 3.01
Sb 0.5000 0.5000 0.6709  1 Mo 3.21, 8 Sb 3.22-3.50, 4 Cd 3.51
Mo 0.5000 0.5000 0.2450  4 Sb 2.73